LaZrCr4 after structural relaxation. Source: Alexandria, functional PBE.

## Properties
calculated formation energy	8.17	kcal/mol of atoms
total DFT energy (no corrections)	-49.84	eV/cell
D(E_F)	1.372	states/eV/atom

```
LaZrCr4
1.0
0.0000 3.6538 3.6538
3.6538 0.0000 3.6538
3.6538 3.6538 0.0000
La Zr Cr
1 1 4
Direct
0.0000 0.0000 0.0000
0.2500 0.2500 0.2500
0.1253 0.6249 0.6249
0.6249 0.1253 0.6249
0.6249 0.6249 0.1253
0.6249 0.6249 0.6249
```